Compound: HfPaVO6
Source: Alexandria via LeMat-Bulk
Functional: PBE+U
Structure: optimized geometry

a = 5.280 Å, b = 5.280 Å, c = 4.831 Å
α = 90.00°, β = 90.00°, γ = 120.00°
Atoms (fractional coordinates):
Hf (0.000, 0.000, 0.000)
Pa (0.333, 0.667, 0.500)
V (0.667, 0.333, 0.000)
O (0.338, 0.009, 0.767)
O (0.338, 0.329, 0.233)
O (0.671, 0.009, 0.233)
O (0.671, 0.662, 0.767)
O (0.991, 0.329, 0.767)
O (0.991, 0.662, 0.233)

## Properties
Raw total energy, eV/cell: -84.81